[1]
VASP calculation (SCAN) on a crystal of Ba2ZnAu relaxed with PBEsol.

Results
- Total energy: -163.75 eV per cell
- Density of states at the Fermi level: 3.965 states/eV/f.u.
- Calculated formation energy: -0.495 eV/atom
- Total moment: 0.00 μB/f.u.

```
4
Lattice="-0.3111 -3.6247 -1.6316 0.8045 -1.6602 3.5347 -7.7057 -0.1057 1.7042" Properties=species:S:1:pos:R:3 pbc="T T T"
Ba -5.8323 -0.0800 1.2899
Zn -3.6062 -2.6953 1.8036
Ba -1.8734 -0.0257 0.4143
Au 0.2467 -2.6424 0.9515
```

=====

[2]
VASP calculation (SCAN) on a crystal of LaSc2Fe relaxed with PBEsol.

Results
- Total energy: -88.93 eV per cell
- Density of states at the Fermi level: 3.246 states/eV/f.u.
- Calculated formation energy: 0.195 eV/atom
- Total moment: 1.20 μB/f.u.

```
4
Lattice="-3.1809 0.9118 0.1679 -2.3845 -2.3004 0.0083 -1.4693 -0.8292 9.3554" Properties=species:S:1:pos:R:3 pbc="T T T"
Sc -1.7312 -0.5805 3.0447
Fe -3.5174 -1.1089 4.7658
La 0.0000 0.0000 0.0000
Sc -5.3035 -1.6373 6.4870
```

=====

[3]
VASP calculation (SCAN) on a crystal of HfSN2O relaxed with PBEsol.

Results
- Total energy: -93.03 eV per cell
- Density of states at the Fermi level: 2.193 states/eV/f.u.
- Formation energy without anion corrections: 4.1 eV per formula unit
- Total moment: 6.01 μB/f.u.

```
5
Lattice="-2.6112 3.2354 0.0454 -3.1364 -2.5165 -1.0577 -0.9528 -0.8365 4.8156" Properties=species:S:1:pos:R:3 pbc="T T T"
N -1.3056 1.6177 0.0227
O -3.3502 -0.0588 1.9016
Hf 0.0000 0.0000 0.0000
S -0.4764 -0.4183 2.4078
N -1.5682 -1.2582 -0.5289
```

=====

[4]
VASP calculation (SCAN) on a crystal of Be2AuBr relaxed with PBEsol.

Results
- Total energy: -96.56 eV per cell
- Density of states at the Fermi level: 0.713 states/eV/f.u.
- Formation energy without anion corrections: 0.8 eV per formula unit
- Total moment: 0.00 μB/f.u.

```
4
Lattice="3.1230 0.0000 0.0000 0.0000 3.1230 0.0000 0.0000 0.0000 6.3776" Properties=species:S:1:pos:R:3 pbc="T T T"
Be 0.0000 0.0000 2.0494
Au 1.5615 1.5615 3.1888
Br 1.5615 1.5615 0.0000
Be 0.0000 0.0000 4.3282
```

=====

[5]
VASP calculation (SCAN) on a crystal of LiCu2Ni relaxed with PBEsol.

Results
- Total energy: -48.79 eV per cell
- Density of states at the Fermi level: 1.843 states/eV/f.u.
- Calculated formation energy: 0.044 eV/atom
- Total moment: 0.00 μB/f.u.

```
4
Lattice="2.6648 0.0000 0.0000 0.0000 4.0618 0.0000 -1.3324 -2.0309 4.0839" Properties=species:S:1:pos:R:3 pbc="T T T"
Li 1.3324 2.0309 0.0041
Cu 1.3324 2.0309 4.0729
Cu 1.3324 0.0000 2.0251
Ni 0.0000 2.0309 2.0650
```

=====

[6]
VASP calculation (SCAN) on a crystal of MgAgAsSe2 relaxed with PBEsol.

Results
- Total energy: -94.49 eV per cell
- Density of states at the Fermi level: 3.693 states/eV/f.u.
- Formation energy without anion corrections: 2.2 eV per formula unit
- Total moment: 0.95 μB/f.u.

```
5
Lattice="-2.0836 3.9755 1.7119 -3.9079 -2.7750 1.6878 2.3857 -0.6605 4.4378" Properties=species:S:1:pos:R:3 pbc="T T T"
As -1.0418 1.9877 0.8559
Mg -1.8029 0.2700 3.9187
Se -1.9540 -1.3875 0.8439
Ag 0.0000 0.0000 0.0000
Se 1.1928 -0.3303 2.2189
```

=====

[7]
VASP calculation (SCAN) on a crystal of SnRuPt3 relaxed with PBEsol.

Results
- Total energy: -275.80 eV per cell
- Density of states at the Fermi level: 4.866 states/eV/f.u.
- Calculated formation energy: 1.105 eV/atom
- Total moment: 0.00 μB/f.u.

```
5
Lattice="-4.3512 -1.7885 -0.6272 1.5710 -2.5248 -3.6990 1.0603 -3.5988 2.9068" Properties=species:S:1:pos:R:3 pbc="T T T"
Ru 0.0000 0.0000 0.0000
Pt -2.1756 -0.8943 -0.3136
Pt 0.7855 -1.2624 -1.8495
Sn -0.8600 -3.9561 -0.7097
Pt 0.5301 -1.7994 1.4534
```

=====

[8]
VASP calculation (SCAN) on a crystal of BeCrTe2I relaxed with PBEsol.

Results
- Total energy: -130.49 eV per cell
- Density of states at the Fermi level: 4.865 states/eV/f.u.
- Formation energy without anion corrections: 3.5 eV per formula unit
- Total moment: 1.48 μB/f.u.

```
5
Lattice="-0.2246 5.0632 -0.0958 0.0663 -0.0929 -5.0678 -5.4722 -0.2440 -0.0671" Properties=species:S:1:pos:R:3 pbc="T T T"
Cr 0.0000 0.0000 0.0000
I -2.7361 -0.1220 -0.0336
Te 0.0332 -0.0465 -2.5339
Be -2.8152 2.3631 -2.6154
Te -0.1123 2.5316 -0.0479
```

=====

[9]
VASP calculation (SCAN) on a crystal of LiTc2Cl relaxed with PBEsol.

Results
- Total energy: -78.05 eV per cell
- Density of states at the Fermi level: 3.508 states/eV/f.u.
- Formation energy without anion corrections: 2.4 eV per formula unit
- Total moment: 0.00 μB/f.u.

```
4
Lattice="4.2672 0.0000 0.0000 2.1336 3.6955 0.0000 2.1336 1.2318 3.4842" Properties=species:S:1:pos:R:3 pbc="T T T"
Tc 0.0000 0.0000 0.0000
Tc 2.1336 1.2318 0.8710
Cl 4.2672 2.4637 1.7421
Li 6.4008 3.6955 2.6131
```

=====

[10]
VASP calculation (SCAN) on a crystal of LiNi2Sb relaxed with PBEsol.

Results
- Total energy: -72.90 eV per cell
- Density of states at the Fermi level: 1.782 states/eV/f.u.
- Formation energy without anion corrections: -0.9 eV per formula unit
- Total moment: 0.45 μB/f.u.

```
4
Lattice="3.6013 0.0000 0.0000 0.0000 3.7843 0.0000 0.0000 0.0000 3.7843" Properties=species:S:1:pos:R:3 pbc="T T T"
Sb 1.8006 1.8922 1.8922
Ni 0.0000 1.8922 0.0000
Ni 0.0000 0.0000 1.8922
Li 1.8006 0.0000 0.0000
```

=====

[11]
VASP calculation (SCAN) on a crystal of Ca2YTcN relaxed with PBEsol.

Results
- Total energy: -85.46 eV per cell
- Density of states at the Fermi level: 4.005 states/eV/f.u.
- Formation energy without anion corrections: 6.1 eV per formula unit
- Total moment: 2.98 μB/f.u.

```
5
Lattice="4.0161 0.0000 0.0000 0.0000 6.1202 0.0000 0.0000 0.0000 6.1202" Properties=species:S:1:pos:R:3 pbc="T T T"
Tc 2.0081 3.0601 3.0601
Ca 0.0000 3.0601 0.0000
Y 0.0000 0.0000 0.0000
N 2.0081 0.0000 0.0000
Ca 0.0000 0.0000 3.0601
```

=====

[12]
VASP calculation (SCAN) on a crystal of Ta2AsPt relaxed with PBEsol.

Results
- Total energy: -225.25 eV per cell
- Density of states at the Fermi level: 1.893 states/eV/f.u.
- Calculated formation energy: -0.424 eV/atom
- Total moment: 0.00 μB/f.u.

```
4
Lattice="2.8265 0.0000 0.0118 0.0000 4.0705 0.0000 -1.1381 0.0000 5.6248" Properties=species:S:1:pos:R:3 pbc="T T T"
Ta -0.6512 0.0000 4.2383
Pt 0.8442 2.0352 2.8183
Ta 2.3395 0.0000 1.3983
As 1.4132 2.0352 0.0059
```